The following is a GGA-PBE calculation of an optimized crystal structure of YAlRhCl2, from the Alexandria database.

Results
The space-group type is P4/mmm, No. 123.

Cell: 5.0222 5.0222 6.4091 Å, 90.00 90.00 90.00°
Closest atoms and distances in Å follow each position.
Sites, in units of the cell vectors:
Y  0.0000  0.0000  0.0000  4 Cl 2.51
Al  0.0000  0.0000  0.5000  2 Y 3.20, 4 Rh 3.55
Rh  0.5000  0.5000  0.5000  4 Al 3.55
Cl  0.0000  0.5000  0.0000  2 Y 2.51
Cl  0.5000  0.0000  0.0000  2 Y 2.51

---

The following is a GGA-PBE calculation of an optimized crystal structure of AlRuCl2, from the Alexandria database.

Results
The space-group type is Imm2, No. 44. For the polymorph energy (0 for the lowest one), the calculation gives 0.343 eV per atom.

Cell: 2.9826 8.2098 9.2548 Å, 90.00 90.00 90.00°
Closest atoms and distances in Å follow each position.
Sites, in units of the cell vectors:
Al  0.0000  0.0000  0.0000  2 Cl 2.32, 2 Ru 2.52
Al  0.5000  0.5000  0.5000  2 Cl 2.32, 2 Ru 2.52
Ru  0.0000  0.5000  0.2807  2 Cl 2.30, 2 Al 2.52
Ru  0.5000  0.0000  0.7807  2 Cl 2.30, 2 Al 2.52
Cl  0.0000  0.0000  0.5914  2 Ru 2.30
Cl  0.0000  0.5000  0.6923  2 Al 2.32
Cl  0.5000  0.0000  0.1923  2 Al 2.32
Cl  0.5000  0.5000  0.0914  2 Ru 2.30

---

The following is a GGA-PBE calculation of an optimized crystal structure of AlRuCl2, from the Alexandria database.

Results
The space-group type is I-4m2, No. 119. For the polymorph energy (0 for the lowest one), the calculation gives 0.944 eV per atom.

Cell: 3.8278 3.8278 9.2418 Å, 90.00 90.00 90.00°
Closest atoms and distances in Å follow each position.
Sites, in units of the cell vectors:
Al  0.0000  0.0000  0.0000  8 Cl 2.71-3.00, 4 Ru 3.00
Al  0.5000  0.5000  0.5000  8 Cl 2.71-3.00, 4 Ru 3.00
Ru  0.0000  0.5000  0.2500  8 Cl 2.71-3.00, 4 Al 3.00
Ru  0.5000  0.0000  0.7500  8 Cl 2.71-3.00, 4 Al 3.00
Cl  0.0000  0.0000  0.5000  4 Al 2.71, 4 Cl 3.00, 4 Ru 3.00
Cl  0.0000  0.5000  0.7500  4 Ru 2.71, 4 Cl 3.00, 4 Al 3.00
Cl  0.5000  0.0000  0.2500  4 Ru 2.71, 4 Cl 3.00, 4 Al 3.00
Cl  0.5000  0.5000  0.0000  4 Al 2.71, 4 Cl 3.00, 4 Ru 3.00

---

The following is a GGA-PBE calculation of an optimized crystal structure of AlRuCl2, from the Alexandria database.

Results
The space-group type is F-43m, No. 216. For the polymorph energy (0 for the lowest one), the calculation gives 1.023 eV per atom.

Cell: 6.5528 6.5528 6.5528 Å, 90.00 90.00 90.00°
Closest atoms and distances in Å follow each position.
Sites, in units of the cell vectors:
Al  0.0000  0.0000  0.0000  4 Cl 2.84, 4 Ru 2.84
Al  0.0000  0.5000  0.5000  4 Cl 2.84, 4 Ru 2.84
Al  0.5000  0.0000  0.5000  4 Cl 2.84, 4 Ru 2.84
Al  0.5000  0.5000  0.0000  4 Cl 2.84, 4 Ru 2.84
Ru  0.2500  0.2500  0.7500  4 Al 2.84, 4 Cl 2.84
Ru  0.2500  0.7500  0.2500  4 Cl 2.84, 4 Al 2.84
Ru  0.7500  0.2500  0.2500  4 Cl 2.84, 4 Al 2.84
Ru  0.7500  0.7500  0.7500  4 Al 2.84, 4 Cl 2.84
Cl  0.0000  0.0000  0.5000  4 Ru 2.84, 4 Cl 2.84
Cl  0.0000  0.5000  0.0000  4 Ru 2.84, 4 Cl 2.84
Cl  0.2500  0.2500  0.2500  4 Cl 2.84, 4 Al 2.84
Cl  0.2500  0.7500  0.7500  4 Cl 2.84, 4 Al 2.84
Cl  0.5000  0.0000  0.0000  4 Ru 2.84, 4 Cl 2.84
Cl  0.5000  0.5000  0.5000  4 Ru 2.84, 4 Cl 2.84
Cl  0.7500  0.2500  0.7500  4 Cl 2.84, 4 Al 2.84
Cl  0.7500  0.7500  0.2500  4 Cl 2.84, 4 Al 2.84

---

The following is a GGA-PBE calculation of an optimized crystal structure of Al2RuCl8, from the Alexandria database.

Results
The space-group type is C2/m, No. 12.

Cell: 7.9523 7.9523 5.8927 Å, 91.93 91.93 64.74°
Closest atoms and distances in Å follow each position.
Sites, in units of the cell vectors:
Al  0.1610  0.1610  0.1137  4 Cl 2.10-2.20
Al  0.8390  0.8390  0.8863  4 Cl 2.10-2.20
Ru  0.0000  0.0000  0.5000  6 Cl 2.42-2.43
Cl  0.1159  0.7280  0.7373  1 Al 2.20, 1 Ru 2.43
Cl  0.1507  0.1507  0.7401  1 Al 2.20, 1 Ru 2.42
Cl  0.2720  0.8841  0.2627  1 Al 2.20, 1 Ru 2.43
Cl  0.3147  0.3147  0.1978  1 Al 2.10
Cl  0.6853  0.6853  0.8022  1 Al 2.10
Cl  0.7280  0.1159  0.7373  1 Al 2.20, 1 Ru 2.43
Cl  0.8493  0.8493  0.2599  1 Al 2.20, 1 Ru 2.42
Cl  0.8841  0.2720  0.2627  1 Al 2.20, 1 Ru 2.43

---

The following is a GGA-PBE calculation of an optimized crystal structure of AlRuCl2, from the Alexandria database.

Results
The space-group type is P4/mmm, No. 123. For the polymorph energy (0 for the lowest one), the calculation gives 0.898 eV per atom.

Cell: 3.1556 3.1556 8.0523 Å, 90.00 90.00 90.00°
Closest atoms and distances in Å follow each position.
Sites, in units of the cell vectors:
Al  0.0000  0.0000  0.0000  4 Al 3.16, 8 Cl 3.26
Ru  0.0000  0.0000  0.5000  8 Cl 2.78
Cl  0.5000  0.5000  0.2949  4 Ru 2.78
Cl  0.5000  0.5000  0.7051  4 Ru 2.78

---

The following formation energy from raw total energies values (in meV per atom) correspond, in order, to the records above: 11.5 -152.4 448.8 528.1 -1164.2 402.6.
The following theoretical density values (in g cm⁻³) correspond, in order, to the records above: 2.976 2.916 4.880 4.697 2.163 4.120.